Record 1
# Dy2YErS6

A relaxed structure of Dy2YErS6 (GGA-PBE, Alexandria via LeMat-Bulk).

Cell and atoms, written as POSCAR:
```
Dy2YErS6
1.0
3.448 1.991 6.162
-3.448 1.991 6.162
0.000 -3.982 6.162
Dy Y Er S
2 1 1 6
direct
0.000 0.000 0.000
0.499 0.499 0.499
0.201 0.201 0.201
0.700 0.700 0.700
0.097 0.404 0.800
0.301 0.900 0.600
0.404 0.800 0.097
0.600 0.301 0.900
0.800 0.097 0.404
0.900 0.600 0.301
```

Calculated values
calculated total energy	-65.629	eV/f.u.
formation energy without anion corrections	-2.06	eV/atom
symmetry	No. 146
DOS(E_F)	0.00	states/eV/atom

Record 2
# K2Bi8Se13

A relaxed structure of K2Bi8Se13 (GGA-PBE, Alexandria via LeMat-Bulk).

Cell and atoms, written as POSCAR:
```
K2Bi8Se13
1.0
13.866 -2.108 0.000
13.866 2.108 0.000
-0.610 0.000 12.375
K Bi Se
2 8 13
direct
0.088 0.088 0.055
0.912 0.912 0.945
0.058 0.058 0.382
0.217 0.217 0.870
0.312 0.312 0.543
0.425 0.425 0.296
0.575 0.575 0.704
0.688 0.688 0.457
0.783 0.783 0.130
0.942 0.942 0.618
0.019 0.019 0.798
0.129 0.129 0.572
0.210 0.210 0.090
0.243 0.243 0.358
0.360 0.360 0.116
0.391 0.391 0.723
0.500 0.500 0.500
0.609 0.609 0.277
0.640 0.640 0.884
0.757 0.757 0.642
0.790 0.790 0.910
0.871 0.871 0.428
0.981 0.981 0.202
```

Calculated values
calculated total energy	-90.950	eV/f.u.
energy relative to the lowest polymorph listed for this composition	0.000	eV per atom
formation energy without anion corrections	-0.54	eV/atom
symmetry	No. 12